Y3SnAs PBE-GGA relaxed; symmetry = Pm-3m (221); M_tot = 0.00 Bohr magnetons per cell; E = -6.25 eV/atom; offset from the most stable computed form = 0.0 meV per atom; formation enthalpy at 0 K = -3.20 eV per formula unit
1.0
5.342 0.000 0.000
0.000 5.342 0.000
0.000 0.000 5.342
Y Sn As
3 1 1
Direct
0.000 0.000 0.500 Y
0.000 0.500 0.000 Y
0.500 0.000 0.000 Y
0.500 0.500 0.500 Sn
0.000 0.000 0.000 As